[1]
# LaMg9Cd3

LaMg9Cd3 after structural relaxation (PBE, Alexandria via LeMat-Bulk).

Cell lengths 5.9521, 14.3064, 7.7393 Å; angles 90.00, 112.18, 90.00 degrees
Space group C2/m (No. 12)
Unique sites:
La (0.0000, 0.0000, 0.0000) [2 per cell]
Mg (0.0000, 0.0000, 0.5000) [2 per cell]
Mg (0.1053, 0.3921, 0.2132) [8 per cell]
Mg (0.1747, 0.1762, 0.3494) [8 per cell]
Cd (0.0000, 0.5000, 0.5000) [2 per cell]
Cd (0.2500, 0.2500, 0.0000) [4 per cell]

- D(E_F) (states/eV per cell) = 10.78
- crystal system = monoclinic
- E_form (meV/atom) = -144

[2]
# Ba3B2PdO8

Ba3B2PdO8 after structural relaxation (PBE, Alexandria via LeMat-Bulk).

Cell lengths 5.4692, 5.4692, 7.2578 Å; angles 90.00, 90.00, 120.00 degrees
Space group P-3m1 (No. 164)
Unique sites:
Ba (0.0000, 0.0000, 0.0000) [1 per cell]
Ba (0.3333, 0.6667, 0.6963) [2 per cell]
B (0.3333, 0.6667, 0.2591) [2 per cell]
Pd (0.0000, 0.0000, 0.5000) [1 per cell]
O (0.1766, 0.3533, 0.3176) [6 per cell]
O (0.3333, 0.6667, 0.0645) [2 per cell]

- uncorrected formation energy (eV/atom) = -2.097
- crystal system = trigonal

[3]
# VFeAsPt2

VFeAsPt2 after structural relaxation (PBE, Alexandria via LeMat-Bulk).

Cell lengths 4.6349, 4.6349, 4.5329 Å; angles 90.00, 90.00, 90.00 degrees
Space group P4/mmm (No. 123)
Unique sites:
V (0.0000, 0.0000, 0.0000) [1 per cell]
Fe (0.5000, 0.5000, 0.0000) [1 per cell]
As (0.0000, 0.0000, 0.5000) [1 per cell]
Pt (0.0000, 0.5000, 0.5000) [2 per cell]

- relative energy among the computed polymorphs (meV per atom) = 0.0
- D(E_F) (states/eV per cell) = 7.09
- crystal system = tetragonal
- E_form (meV/atom) = 744

[4]
# HfB

HfB after structural relaxation (PBE, Alexandria via LeMat-Bulk).

Cell lengths 6.4486, 6.4486, 6.4486 Å; angles 90.00, 90.00, 90.00 degrees
Space group Pm-3n (No. 223)
Unique sites:
Hf (0.0000, 0.2500, 0.5000) [6 per cell]
B (0.0000, 0.5000, 0.2500) [6 per cell]

- D(E_F) (states/eV per cell) = 12.65
- crystal system = cubic
- E_form (meV/atom) = 704

[5]
# HoSiTe2

HoSiTe2 after structural relaxation (PBE, Alexandria via LeMat-Bulk).

Cell lengths 3.9219, 3.9219, 27.4973 Å; angles 90.00, 90.00, 120.00 degrees
Space group R-3m (No. 166, hexagonal axes)
Unique sites:
Ho (0.0000, 0.0000, 0.0000) [3 per cell]
Si (0.0000, 0.0000, 0.5000) [3 per cell]
Te (0.0000, 0.0000, 0.1086) [6 per cell]

- uncorrected formation energy (eV/atom) = -0.042
- D(E_F) (states/eV per cell) = 5.09
- crystal system = trigonal

[6]
# CePr2Zn2In2

CePr2Zn2In2 after structural relaxation (PBE, Alexandria via LeMat-Bulk).

Cell lengths 4.8110, 4.8110, 27.9137 Å; angles 90.00, 90.00, 120.00 degrees
Space group R-3m (No. 166, hexagonal axes)
Unique sites:
Ce (0.0000, 0.0000, 0.0000) [3 per cell]
Pr (0.0000, 0.0000, 0.1266) [6 per cell]
Zn (0.0000, 0.0000, 0.3924) [6 per cell]
In (0.0000, 0.0000, 0.2673) [6 per cell]

- D(E_F) (states/eV per cell) = 26.66
- crystal system = trigonal
- E_form (meV/atom) = -267

[7]
# Li3SmPu2S6

Li3SmPu2S6 after structural relaxation (PBE, Alexandria via LeMat-Bulk).

Cell lengths 6.8903, 11.9331, 6.5548 Å; angles 90.00, 110.50, 90.00 degrees
Space group C2/m (No. 12)
Unique sites:
Li (0.0000, 0.0000, 0.0000) [2 per cell]
Li (0.0000, 0.3312, 0.0000) [4 per cell]
Sm (0.0000, 0.5000, 0.5000) [2 per cell]
Pu (0.0000, 0.1665, 0.5000) [4 per cell]
S (0.2463, 0.0000, 0.7537) [4 per cell]
S (0.2468, 0.1692, 0.2483) [8 per cell]

- uncorrected formation energy (eV/atom) = -1.626
- D(E_F) (states/eV per cell) = 33.95
- crystal system = monoclinic

[8]
# ZrTaIn2

ZrTaIn2 after structural relaxation (PBE, Alexandria via LeMat-Bulk).

Cell lengths 3.1203, 3.1203, 30.4315 Å; angles 90.00, 90.00, 120.00 degrees
Space group R-3m (No. 166, hexagonal axes)
Unique sites:
Zr (0.0000, 0.0000, 0.0000) [3 per cell]
Ta (0.0000, 0.0000, 0.5000) [3 per cell]
In (0.0000, 0.0000, 0.2471) [6 per cell]

- relative energy among the computed polymorphs (meV per atom) = 85.3
- D(E_F) (states/eV per cell) = 8.59
- crystal system = trigonal
- E_form (meV/atom) = 55

[9]
# Hg4TeI2Br

Hg4TeI2Br after structural relaxation (PBE, Alexandria via LeMat-Bulk).

Cell lengths 8.6086, 9.5053, 7.7264 Å; angles 90.00, 90.00, 90.00 degrees
Space group Pmn2_1 (No. 31)
Unique sites:
Hg (0.0000, 0.0742, 0.0000) [2 per cell]
Hg (0.0000, 0.8047, 0.6149) [2 per cell]
Hg (0.1661, 0.3433, 0.4836) [4 per cell]
Te (0.0000, 0.7805, 0.9696) [2 per cell]
I (0.2191, 0.3181, 0.9603) [4 per cell]
Br (0.0000, 0.0304, 0.4040) [2 per cell]

- uncorrected formation energy (eV/atom) = -0.170
- D(E_F) (states/eV per cell) = 5.94
- crystal system = orthorhombic

[10]
# NaBPb

NaBPb after structural relaxation (PBE, Alexandria via LeMat-Bulk).

Cell lengths 8.5916, 4.8934, 7.7994 Å; angles 90.00, 111.80, 90.00 degrees
Space group C2/m (No. 12)
Unique sites:
Na (0.1974, 0.0000, 0.0936) [4 per cell]
B (0.0336, 0.5000, 0.1037) [4 per cell]
Pb (0.1387, 0.5000, 0.4211) [4 per cell]

- D(E_F) (states/eV per cell) = 2.60
- crystal system = monoclinic
- E_form (meV/atom) = 400

[11]
# Cs2NdTe2I2

Cs2NdTe2I2 after structural relaxation (PBE, Alexandria via LeMat-Bulk).

Cell lengths 6.0848, 6.0848, 19.9070 Å; angles 90.00, 90.00, 90.00 degrees
Space group I4/mmm (No. 139)
Unique sites:
Cs (0.0000, 0.0000, 0.1427) [4 per cell]
Nd (0.0000, 0.0000, 0.5000) [2 per cell]
Te (0.0000, 0.5000, 0.0000) [4 per cell]
I (0.0000, 0.0000, 0.3379) [4 per cell]

- uncorrected formation energy (eV/atom) = -1.253
- D(E_F) (states/eV per cell) = 20.61
- crystal system = tetragonal

[12]
# PrSm2RhN4

PrSm2RhN4 after structural relaxation (PBE, Alexandria via LeMat-Bulk).

Cell lengths 3.4989, 11.9767, 11.8035 Å; angles 90.00, 90.00, 90.00 degrees
Space group Cmcm (No. 63)
Unique sites:
Pr (0.0000, 0.1123, 0.2500) [4 per cell]
Sm (0.0000, 0.3696, 0.0454) [8 per cell]
Rh (0.0000, 0.1496, 0.7500) [4 per cell]
N (0.0000, 0.0000, 0.0000) [4 per cell]
N (0.0000, 0.2732, 0.6309) [8 per cell]
N (0.0000, 0.4461, 0.2500) [4 per cell]

- uncorrected formation energy (eV/atom) = -0.852
- D(E_F) (states/eV per cell) = 10.11
- crystal system = orthorhombic

| no. | calculated volume (Å³/atom) |
| --- | --- |
| 1 | 23.5 |
| 2 | 13.4 |
| 3 | 19.5 |
| 4 | 22.3 |
| 5 | 30.5 |
| 6 | 26.6 |
| 7 | 21.0 |
| 8 | 21.4 |
| 9 | 39.5 |
| 10 | 25.4 |
| 11 | 52.6 |
| 12 | 15.5 |